The following is a GGA-PBEsol calculation of a geometry-optimized CsNaNi2 structure, from Alexandria.

The structure belongs to space group Fm-3m (No. 225); the cell edges are 6.845, 6.845 and 6.845 Å and the angles 90.00°, 90.00° and 90.00°. Symmetry generates all atoms from Cs at (0.000, 0.000, 0.000), Na at (0.000, 0.000, 0.500) and Ni at (0.250, 0.250, 0.250).

The value obtained for the calculated total energy is -39.59 eV per cell.